Below is a relaxed structure of Tm2Ga8Fe, with properties calculated at the PBEsol level.

Cell: 4.126 4.126 10.905 Å, 90.00 90.00 90.00°
Atoms (fractional coordinates):
Tm  0.000  0.000  0.194
Tm  0.000  0.000  0.806
Ga  0.000  0.500  0.000
Ga  0.000  0.500  0.383
Ga  0.000  0.500  0.617
Ga  0.500  0.000  0.000
Ga  0.500  0.000  0.383
Ga  0.500  0.000  0.617
Ga  0.500  0.500  0.194
Ga  0.500  0.500  0.806
Fe  0.000  0.000  0.500

Summary:
- symmetry = P4/mmm, No. 123
- magnetization (μB/f.u.) = 0.001
- ΔE_f (kcal/mol of atoms) = -11.4
- D(E_F) (states/eV per cell) = 3.97